No. 1
The following is a PBE calculation of crystalline Fe2B2Sb at its relaxed geometry, from the Alexandria database.

Values from the calculation:
SG: P4/mbm, No. 127
Formation energy from raw total energies, eV/atom: 0.45
Fermi-level density of states, states/eV/cell: 6.15
Offset from the most stable computed form, eV per formula unit: 1.08
Spin magnetization, μB/f.u.: 1.59

a b c (Å): 6.0492 6.0492 2.9619
angles (deg): 90.00 90.00 90.00
Fractional coordinates of all 10 atoms:
Sb 0.0000 0.0000 0.0000
Sb 0.5000 0.5000 0.0000
B 0.3989 0.8989 0.0000
B 0.8989 0.6011 0.0000
B 0.6011 0.1011 0.0000
B 0.1011 0.3989 0.0000
Fe 0.1529 0.6529 0.5000
Fe 0.6529 0.8471 0.5000
Fe 0.8471 0.3471 0.5000
Fe 0.3471 0.1529 0.5000


No. 2
The following is a PBE calculation of crystalline ErBiO at its relaxed geometry, from the Alexandria database.

Values from the calculation:
SG: P-3m1, No. 164
Formation energy from raw total energies, eV/atom: -1.97
Fermi-level density of states, states/eV/cell: 2.86
Offset from the most stable computed form, eV per formula unit: 0.48
Spin magnetization, μB/f.u.: 0.00

a b c (Å): 3.6035 3.6035 12.5124
angles (deg): 90.00 90.00 120.00
Fractional coordinates of all 6 atoms:
Er 0.6667 0.3333 0.1225
Er 0.3333 0.6667 0.8775
Bi 0.6667 0.3333 0.6502
Bi 0.3333 0.6667 0.3498
O 0.6667 0.3333 0.9320
O 0.3333 0.6667 0.0680


No. 3
The following is a PBE calculation of crystalline InIr2Rh at its relaxed geometry, from the Alexandria database.

Values from the calculation:
SG: R-3m, No. 166
Fermi-level density of states, states/eV/cell: 5.00
Spin magnetization, μB/f.u.: 0.00

a b c (Å): 9.0166 9.0166 9.0166
angles (deg): 18.35 18.35 18.35
Fractional coordinates of all 4 atoms:
In 0.0000 0.0000 0.0000
Ir 0.7530 0.7530 0.7530
Ir 0.2470 0.2470 0.2470
Rh 0.5000 0.5000 0.5000


No. 4
The following is a PBE calculation of crystalline ZrIrSe at its relaxed geometry, from the Alexandria database.

Values from the calculation:
SG: R-3m, No. 166
Formation energy from raw total energies, eV/atom: -0.78
Fermi-level density of states, states/eV/cell: 0.41
Offset from the most stable computed form, eV per formula unit: 0.00
Spin magnetization, μB/f.u.: 0.00

a b c (Å): 4.1862 4.1862 9.9881
angles (deg): 77.90 77.90 60.00
Fractional coordinates of all 6 atoms:
Zr 0.5617 0.5617 0.3150
Zr 0.4383 0.4383 0.6850
Se 0.2756 0.2756 0.1732
Se 0.7244 0.7244 0.8268
Ir 0.8340 0.8340 0.4979
Ir 0.1660 0.1660 0.5021


No. 5
The following is a PBE calculation of crystalline TlTcBr2 at its relaxed geometry, from the Alexandria database.

Values from the calculation:
SG: Cm, No. 8
Formation energy from raw total energies, eV/atom: 0.03
Fermi-level density of states, states/eV/cell: 2.28
Offset from the most stable computed form, eV per formula unit: 0.00
Spin magnetization, μB/f.u.: 1.48

a b c (Å): 5.6080 5.6080 7.2817
angles (deg): 67.48 67.48 36.01
Fractional coordinates of all 4 atoms:
Tl 0.1819 0.1819 0.3751
Tc 0.4510 0.4510 0.3750
Br 0.0119 0.0119 0.0904
Br 0.8552 0.8552 0.6594


No. 6
The following is a PBE calculation of crystalline Dy4MgIr at its relaxed geometry, from the Alexandria database.

Values from the calculation:
SG: I4_1md, No. 109
Fermi-level density of states, states/eV/cell: 14.32
Offset from the most stable computed form, eV per formula unit: 2.38
Spin magnetization, μB/f.u.: 0.00

a b c (Å): 8.1658 8.1658 8.1658
angles (deg): 102.13 102.13 125.43
Fractional coordinates of all 12 atoms:
Dy 0.2701 0.9524 0.6823
Dy 0.7359 0.4812 0.7453
Dy 0.7024 0.5201 0.1823
Dy 0.2312 0.9859 0.2453
Dy 0.3378 0.5201 0.8177
Dy 0.7406 0.9859 0.7547
Dy 0.7359 0.9906 0.2547
Dy 0.2701 0.5878 0.3177
Mg 0.1878 0.1878 0.0000
Mg 0.9378 0.4378 0.5000
Ir 0.8002 0.8002 0.0000
Ir 0.5502 0.0502 0.5000


No. 7
The following is a PBE calculation of crystalline NaTbCd6 at its relaxed geometry, from the Alexandria database.

Values from the calculation:
SG: Amm2, No. 38
Fermi-level density of states, states/eV/cell: 3.06
Offset from the most stable computed form, eV per formula unit: 0.00
Spin magnetization, μB/f.u.: 0.00

a b c (Å): 5.0353 6.5813 6.5813
angles (deg): 119.09 90.00 90.00
Fractional coordinates of all 8 atoms:
Na 0.5000 0.4110 0.5890
Tb 0.0000 0.0881 0.9119
Cd 0.0000 0.0716 0.4052
Cd 0.0000 0.5948 0.9284
Cd 0.0000 0.5853 0.4147
Cd 0.5000 0.4274 0.0940
Cd 0.5000 0.9060 0.5726
Cd 0.5000 0.9155 0.0845


No. 8
The following is a PBE calculation of crystalline LiEuSn at its relaxed geometry, from the Alexandria database.

Values from the calculation:
SG: P-6m2, No. 187
Fermi-level density of states, states/eV/cell: 11.48
Spin magnetization, μB/f.u.: 6.84

a b c (Å): 3.7602 4.9578 4.9578
angles (deg): 120.00 90.00 90.00
Fractional coordinates of all 3 atoms:
Eu 0.6667 0.3333 0.6667
Sn 0.1669 0.0000 0.0000
Li 0.1664 0.6667 0.3333


No. 9
The following is a PBE calculation of crystalline NiC2Cl at its relaxed geometry, from the Alexandria database.

Values from the calculation:
SG: I-42d, No. 122
Formation energy from raw total energies, eV/atom: 1.68
Fermi-level density of states, states/eV/cell: 2.49
Offset from the most stable computed form, eV per formula unit: 0.00
Spin magnetization, μB/f.u.: 0.00

a b c (Å): 4.8343 4.8343 5.8777
angles (deg): 65.72 65.72 90.00
Fractional coordinates of all 8 atoms:
Ni 0.0000 0.0000 0.0000
Ni 0.7500 0.2500 0.5000
C 0.7447 0.1250 0.2500
C 0.0053 0.6250 0.2500
C 0.3750 0.2553 0.7500
C 0.8750 0.9947 0.7500
Cl 0.5000 0.5000 0.0000
Cl 0.2500 0.7500 0.5000


No. 10
The following is a PBE calculation of crystalline Pr6Ge3Pd at its relaxed geometry, from the Alexandria database.

Values from the calculation:
SG: P2_1/c, No. 14
Fermi-level density of states, states/eV/cell: 21.35
Spin magnetization, μB/f.u.: 0.08

a b c (Å): 6.5693 8.3525 11.0018
angles (deg): 90.00 91.25 90.00
Fractional coordinates of all 20 atoms:
Pr 0.6370 0.1758 0.9202
Pr 0.6396 0.1779 0.5714
Pr 0.6472 0.4563 0.2518
Pr 0.3528 0.5437 0.7482
Pr 0.3604 0.8221 0.4286
Pr 0.3630 0.8242 0.0798
Pr 0.1370 0.3242 0.4202
Pr 0.1396 0.3221 0.0714
Pr 0.1472 0.0437 0.7518
Pr 0.8528 0.9563 0.2482
Pr 0.8604 0.6779 0.9286
Pr 0.8630 0.6758 0.5798
Ge 0.5780 0.8809 0.7434
Ge 0.5000 0.5000 0.0000
Ge 0.4220 0.1191 0.2566
Ge 0.0780 0.6191 0.2434
Ge 0.0000 0.0000 0.5000
Ge 0.9220 0.3809 0.7566
Pd 0.5000 0.5000 0.5000
Pd 0.0000 0.0000 0.0000


No. 11
The following is a PBE calculation of crystalline PHRuS at its relaxed geometry, from the Alexandria database.

Values from the calculation:
SG: Cm, No. 8
Fermi-level density of states, states/eV/cell: 2.73
Offset from the most stable computed form, eV per formula unit: 0.43
Spin magnetization, μB/f.u.: 0.00

a b c (Å): 4.8205 3.0323 8.2131
angles (deg): 90.00 112.17 90.00
Fractional coordinates of all 8 atoms:
P 0.7792 0.0000 0.4230
P 0.7792 0.5000 0.9230
H 0.0011 0.0000 0.7776
H 0.0011 0.5000 0.2776
Ru 0.8781 0.0000 0.1585
Ru 0.8781 0.5000 0.6585
S 0.3950 0.0000 0.1963
S 0.3950 0.5000 0.6963


No. 12
The following is a PBE calculation of crystalline Sr2LaMn at its relaxed geometry, from the Alexandria database.

Values from the calculation:
SG: P4/mmm, No. 123
Fermi-level density of states, states/eV/cell: 5.65
Offset from the most stable computed form, eV per formula unit: 0.69
Spin magnetization, μB/f.u.: 3.78

a b c (Å): 3.8847 3.8847 9.8538
angles (deg): 90.00 90.00 90.00
Fractional coordinates of all 4 atoms:
La 0.5000 0.5000 0.2500
Mn 0.5000 0.5000 0.7500
Sr 0.0000 0.0000 0.9485
Sr 0.0000 0.0000 0.5515


Results for total energy: -64.312; -38.637; -27.015; -46.440; -15.941; -58.153; -12.867; -17.806; -38.673; -106.829; -45.073; -15.796 (in eV per cell, following the order of the records).